7
Lattice="-3.1849 -1.3694 4.0536 -3.6817 -1.6974 -3.4661 6.4495 -5.2017 -0.1992" Properties=species:S:1:pos:R:3 comment="Ca2TbIn4 GGA-PBE optimized geometry" crystal_system=tetragonal sg="No. 139" formation_energy_mev_per_atom=-323 volume_a3_per_atom=30.0 n_ef_per_ev_fu=2.78 pbc="T T T"
Ca -1.9392 -4.8697 0.3405
Ca 1.5221 -3.3988 0.0477
Tb 0.0000 0.0000 0.0000
In 0.5106 -6.0994 -1.6594
In 0.7590 -5.9354 2.1005
In -0.9277 -2.1691 2.0476
In -1.1761 -2.3331 -1.7122